Material: LiMn2Cd
Method: DFT, PBEsol
State: relaxed

* E_tot: -5.208 eV per atom
* energy of formation from the pure elements: 463 meV/atom

Cell lengths 2.717, 4.768, 5.365 Å; angles 114.77, 102.05, 95.75 degrees
Site moments in Bohr magnetons follow the coordinates.
Fractional positions:
Cd (0.000, 0.500, 0.000)  -0.04
Li (0.500, 0.000, 0.000)  -0.02
Mn (0.500, 0.500, 0.500)  3.24
Mn (0.000, 0.000, 0.500)  3.24

=====

Material: LiMnCdP2
Method: DFT, PBEsol
State: relaxed

* E_tot: -4.201 eV per atom
* energy of formation from the pure elements: 700 meV/atom

Cell lengths 4.341, 4.341, 4.351 Å; angles 90.00, 90.00, 90.00 degrees
Site moments in Bohr magnetons follow the coordinates.
Fractional positions:
Cd (0.500, 0.500, 0.500)  -0.03
P (0.000, 0.500, 0.000)  -0.02
P (0.500, 0.000, 0.000)  -0.02
Li (0.000, 0.000, 0.000)  -0.01
Mn (0.000, 0.000, 0.500)  3.78

=====

Material: LiCd2Mo
Method: DFT, PBEsol
State: relaxed

* E_tot: -3.652 eV per atom
* energy of formation from the pure elements: 380 meV/atom

Cell lengths 2.668, 4.933, 5.566 Å; angles 95.51, 90.00, 105.69 degrees
Site moments in Bohr magnetons follow the coordinates.
Fractional positions:
Li (0.000, 0.000, 0.500)  0.00
Mo (0.500, 0.000, 0.000)  0.40
Cd (0.752, 0.504, 0.750)  0.01
Cd (0.248, 0.496, 0.250)  0.01

=====

Material: LiCdMo2
Method: DFT, PBEsol
State: relaxed

* E_tot: -6.327 eV per atom
* energy of formation from the pure elements: 348 meV/atom

Cell lengths 2.649, 2.649, 9.152 Å; angles 90.00, 90.00, 90.00 degrees
Fractional positions:
Cd (0.000, 0.000, 0.504)
Mo (0.000, 0.000, 0.998)
Mo (0.500, 0.500, 0.247)
Li (0.500, 0.500, 0.751)

=====

Material: LiCdMo2
Method: DFT, PBEsol
State: relaxed

* E_tot: -6.143 eV per atom
* energy of formation from the pure elements: 532 meV/atom

Cell lengths 2.623, 2.623, 9.267 Å; angles 90.00, 90.00, 90.00 degrees
Fractional positions:
Mo (0.000, 0.000, 0.745)
Mo (0.000, 0.000, 0.255)
Li (0.500, 0.500, 0.500)
Cd (0.500, 0.500, 0.000)

=====

Material: Li2CdMo
Method: DFT, PBEsol
State: relaxed

* E_tot: -3.364 eV per atom
* energy of formation from the pure elements: 861 meV/atom

Cell lengths 5.453, 5.572, 5.572 Å; angles 76.15, 60.71, 60.71 degrees
Site moments in Bohr magnetons follow the coordinates.
Fractional positions:
Cd (0.000, 0.000, 0.000)  0.00
Cd (0.750, 0.500, 0.500)  0.00
Li (0.633, 0.992, 0.492)  0.01
Li (0.117, 0.008, 0.508)  0.01
Li (0.875, 0.492, 0.008)  0.01
Li (0.375, 0.508, 0.992)  0.01
Mo (0.500, 0.000, 0.000)  0.67
Mo (0.250, 0.500, 0.500)  0.67